1.
A relaxed GdZr2 crystal, computed with PBE.

The volume is 309.1 Å³/cell. The value obtained for the energy of formation is 0.08 eV/atom. As for the magnetic moment: 0.00 μB/f.u. The polymorph energy (0 for the lowest one) is 0.0242 eV per atom.

Cell: 5.8151 10.0217 5.3036 Å, 90.00 90.00 90.00°
Positions (direct):
1 Gd 0.0060 0.6689 0.0000
2 Gd 0.0060 0.9978 0.0000
3 Gd 0.8273 0.1689 0.5000
4 Gd 0.8273 0.4978 0.5000
5 Zr 0.4842 0.1746 0.0000
6 Zr 0.0175 0.3333 0.0000
7 Zr 0.4842 0.4921 0.0000
8 Zr 0.5062 0.8333 0.0000
9 Zr 0.3271 0.3333 0.5000
10 Zr 0.3491 0.6746 0.5000
11 Zr 0.8159 0.8333 0.5000
12 Zr 0.3491 0.9921 0.5000

2.
A relaxed GdZr crystal, computed with PBE.

The volume is 328.4 Å³/cell. The value obtained for the energy of formation is 0.08 eV/atom. As for the magnetic moment: 0.01 μB/f.u.

Cell: 9.1203 6.7723 5.4123 Å, 90.00 90.00 100.80°
Positions (direct):
1 Gd 0.6867 0.1704 0.0000
2 Gd 0.3234 0.3262 0.0000
3 Gd 0.3273 0.8373 0.0000
4 Gd 0.5654 0.3960 0.5000
5 Gd 0.2022 0.5518 0.5000
6 Gd 0.5615 0.8849 0.5000
7 Zr 0.9863 0.5070 0.0000
8 Zr 0.6935 0.6765 0.0000
9 Zr 0.9973 0.9907 0.0000
10 Zr 0.1954 0.0457 0.5000
11 Zr 0.9026 0.2153 0.5000
12 Zr 0.8916 0.7315 0.5000

3.
A relaxed GdZr2 crystal, computed with PBE.

The volume is 408.9 Å³/cell. The value obtained for the energy of formation is 3.24 eV/atom. As for the magnetic moment: 0.03 μB/f.u. The polymorph energy (0 for the lowest one) is 3.1873 eV per atom.

Cell: 8.3310 8.3310 8.3310 Å, 60.00 60.00 60.00°
Positions (direct):
1 Gd 0.2500 0.2500 0.2500
2 Gd 0.5000 0.5000 0.5000
3 Zr 0.8750 0.3750 0.3750
4 Zr 0.3750 0.8750 0.3750
5 Zr 0.3750 0.3750 0.3750
6 Zr 0.3750 0.3750 0.8750

4.
A relaxed LuGeHO4 crystal, computed with PBE.

The volume is 319.6 Å³/cell. As for the magnetic moment: 0.00 μB/f.u. The polymorph energy (0 for the lowest one) is 0.4809 eV per atom.

Cell: 4.9782 10.9133 5.8824 Å, 90.00 90.00 90.00°
Positions (direct):
1 Ge 0.4910 0.0713 0.2500
2 Ge 0.0090 0.5713 0.2500
3 Ge 0.9910 0.4287 0.7500
4 Ge 0.5090 0.9287 0.7500
5 H 0.0000 0.0000 0.0000
6 H 0.5000 0.5000 0.0000
7 H 0.0000 0.0000 0.5000
8 H 0.5000 0.5000 0.5000
9 Lu 0.0485 0.2574 0.2500
10 Lu 0.4515 0.7574 0.2500
11 Lu 0.5485 0.2426 0.7500
12 Lu 0.9515 0.7426 0.7500
13 O 0.3557 0.1705 0.0365
14 O 0.1443 0.6705 0.0365
15 O 0.8582 0.0566 0.2500
16 O 0.2064 0.4399 0.2500
17 O 0.6418 0.5566 0.2500
18 O 0.2936 0.9399 0.2500
19 O 0.3557 0.1705 0.4635
20 O 0.1443 0.6705 0.4635
21 O 0.8557 0.3295 0.5365
22 O 0.6443 0.8295 0.5365
23 O 0.7064 0.0601 0.7500
24 O 0.3582 0.4434 0.7500
25 O 0.7936 0.5601 0.7500
26 O 0.1418 0.9434 0.7500
27 O 0.8557 0.3295 0.9635
28 O 0.6443 0.8295 0.9635

5.
A relaxed LuGeH2O4 crystal, computed with PBE.

The volume is 174.6 Å³/cell. As for the magnetic moment: 0.00 μB/f.u. The polymorph energy (0 for the lowest one) is 0.3575 eV per atom.

Cell: 6.1530 6.1530 6.1530 Å, 115.18 98.57 115.18°
Positions (direct):
1 Ge 0.0000 0.0000 0.0000
2 Ge 0.7500 0.5000 0.2500
3 H 0.5165 0.5000 0.0165
4 H 0.2335 0.0000 0.2335
5 H 0.9835 0.5000 0.4835
6 H 0.7665 0.0000 0.7665
7 Lu 0.5000 0.0000 0.5000
8 Lu 0.2500 0.5000 0.7500
9 O 0.2002 0.8192 0.0269
10 O 0.5423 0.6733 0.2231
11 O 0.2077 0.1808 0.3809
12 O 0.7769 0.3192 0.4502
13 O 0.1309 0.6808 0.4577
14 O 0.9731 0.1733 0.7923
15 O 0.6191 0.8267 0.7998
16 O 0.5498 0.3267 0.8691

6.
A relaxed LuGeHO4 crystal, computed with PBE.

The volume is 274.2 Å³/cell. As for the magnetic moment: 0.00 μB/f.u. The polymorph energy (0 for the lowest one) is 0.0424 eV per atom.

Cell: 5.1093 11.3439 4.7312 Å, 90.00 90.00 90.00°
Positions (direct):
1 Ge 0.0000 0.3935 0.2500
2 Ge 0.5000 0.8935 0.2500
3 Ge 0.5000 0.1065 0.7500
4 Ge 0.0000 0.6065 0.7500
5 H 0.5000 0.2034 0.2500
6 H 0.0000 0.7034 0.2500
7 H 0.0000 0.2966 0.7500
8 H 0.5000 0.7966 0.7500
9 Lu 0.0000 0.1182 0.2500
10 Lu 0.5000 0.6182 0.2500
11 Lu 0.5000 0.3818 0.7500
12 Lu 0.0000 0.8818 0.7500
13 O 0.3744 0.2042 0.0257
14 O 0.1256 0.7042 0.0257
15 O 0.2647 0.4601 0.0821
16 O 0.2353 0.9601 0.0821
17 O 0.7353 0.4601 0.4179
18 O 0.7647 0.9601 0.4179
19 O 0.6256 0.2042 0.4743
20 O 0.8744 0.7042 0.4743
21 O 0.1256 0.2958 0.5257
22 O 0.3744 0.7958 0.5257
23 O 0.2353 0.0399 0.5821
24 O 0.2647 0.5399 0.5821
25 O 0.7647 0.0399 0.9179
26 O 0.7353 0.5399 0.9179
27 O 0.8744 0.2958 0.9743
28 O 0.6256 0.7958 0.9743